No. 1
A relaxed structure of LaNdInCu, computed with PBE-GGA.

The structure in CIF format:
```
data_LaNdInCu
_chemical_formula_sum 'La4 Nd4 In4 Cu4'
_cell_length_a 7.617
_cell_length_b 7.617
_cell_length_c 7.617
_cell_angle_alpha 90.00
_cell_angle_beta 90.00
_cell_angle_gamma 90.00
_symmetry_space_group_name_H-M 'F -4 3 m'
_symmetry_Int_Tables_number 216
_symmetry_space_group_name_Hall 'F -4 2 3'
loop_
_atom_site_label
_atom_site_type_symbol
_atom_site_fract_x
_atom_site_fract_y
_atom_site_fract_z
La1 La 0.000 0.000 0.000
Nd1 Nd 0.000 0.000 0.500
In1 In 0.250 0.250 0.250
Cu1 Cu 0.250 0.250 0.750
```

Computed properties:
DFT formation energy: -0.2605 eV/atom


No. 2
A relaxed structure of Y4In, computed with PBE-GGA.

The structure in CIF format:
```
data_Y4In
_chemical_formula_sum 'Y8 In2'
_cell_length_a 7.816
_cell_length_b 7.816
_cell_length_c 4.825
_cell_angle_alpha 90.00
_cell_angle_beta 90.00
_cell_angle_gamma 90.00
_symmetry_space_group_name_H-M 'I 4/m'
_symmetry_Int_Tables_number 87
_symmetry_space_group_name_Hall '-I 4'
loop_
_atom_site_label
_atom_site_type_symbol
_atom_site_fract_x
_atom_site_fract_y
_atom_site_fract_z
Y1 Y 0.108 0.701 0.000
In1 In 0.000 0.000 0.500
```

Computed properties:
DFT formation energy: -0.1699 eV/atom


No. 3
A relaxed structure of ZrAl2Co, computed with PBE-GGA.

The structure in CIF format:
```
data_ZrAl2Co
_chemical_formula_sum 'Zr1 Al2 Co1'
_cell_length_a 3.074
_cell_length_b 3.074
_cell_length_c 6.678
_cell_angle_alpha 90.00
_cell_angle_beta 90.00
_cell_angle_gamma 90.00
_symmetry_space_group_name_H-M 'P 4 m m'
_symmetry_Int_Tables_number 99
loop_
_symmetry_equiv_pos_as_xyz
'x,y,z'
'-y,x,z'
'-x,-y,z'
'y,-x,z'
'-x,y,z'
'y,x,z'
'x,-y,z'
'-y,-x,z'
loop_
_atom_site_label
_atom_site_type_symbol
_atom_site_fract_x
_atom_site_fract_y
_atom_site_fract_z
Zr1 Zr 0.000 0.000 0.000
Al1 Al 0.000 0.000 0.558
Al2 Al 0.500 0.500 0.301
Co1 Co 0.500 0.500 0.727
```

Computed properties:
DFT formation energy: -0.3626 eV/atom


No. 4
A relaxed structure of SbSe2I2, computed with PBE-GGA.

The structure in CIF format:
```
data_SbSe2I2
_chemical_formula_sum 'Sb4 Se8 I8'
_cell_length_a 7.862
_cell_length_b 14.799
_cell_length_c 8.416
_cell_angle_alpha 90.00
_cell_angle_beta 110.94
_cell_angle_gamma 90.00
_symmetry_space_group_name_H-M 'C 1 2/m 1'
_symmetry_Int_Tables_number 12
loop_
_symmetry_equiv_pos_as_xyz
'x,y,z'
'-x,-y,-z'
'-x,y,-z'
'x,-y,z'
'x+1/2,y+1/2,z'
'-x+1/2,-y+1/2,-z'
'-x+1/2,y+1/2,-z'
'x+1/2,-y+1/2,z'
loop_
_atom_site_label
_atom_site_type_symbol
_atom_site_fract_x
_atom_site_fract_y
_atom_site_fract_z
Sb1 Sb 0.000 0.162 0.000
Se1 Se 0.081 0.000 0.244
Se2 Se 0.239 0.500 0.919
I1 I 0.230 0.215 0.762
```

Computed properties:
Raw formation energy: -0.4 eV per formula unit


No. 5
A relaxed structure of BaAcGd2, computed with PBE-GGA.

The structure in CIF format:
```
data_BaAcGd2
_chemical_formula_sum 'Ba1 Ac1 Gd2'
_cell_length_a 3.853
_cell_length_b 3.853
_cell_length_c 11.079
_cell_angle_alpha 90.00
_cell_angle_beta 90.00
_cell_angle_gamma 90.00
_symmetry_space_group_name_H-M 'P 4/m m m'
_symmetry_Int_Tables_number 123
_symmetry_space_group_name_Hall '-P 4 2'
loop_
_atom_site_label
_atom_site_type_symbol
_atom_site_fract_x
_atom_site_fract_y
_atom_site_fract_z
Ba1 Ba 0.000 0.000 0.000
Ac1 Ac 0.000 0.000 0.500
Gd1 Gd 0.500 0.500 0.273
```

Computed properties:
DFT formation energy: 0.1390 eV/atom


No. 6
A relaxed structure of SrYCl2, computed with PBE-GGA.

The structure in CIF format:
```
data_SrYCl2
_chemical_formula_sum 'Sr1 Y1 Cl2'
_cell_length_a 3.511
_cell_length_b 3.511
_cell_length_c 10.397
_cell_angle_alpha 90.00
_cell_angle_beta 90.00
_cell_angle_gamma 90.00
_symmetry_space_group_name_H-M 'P 4/m m m'
_symmetry_Int_Tables_number 123
_symmetry_space_group_name_Hall '-P 4 2'
loop_
_atom_site_label
_atom_site_type_symbol
_atom_site_fract_x
_atom_site_fract_y
_atom_site_fract_z
Sr1 Sr 0.000 0.000 0.000
Y1 Y 0.000 0.000 0.500
Cl1 Cl 0.500 0.500 0.349
```

Computed properties:
Raw formation energy: -4.7 eV per formula unit


No. 7
A relaxed structure of LaAlCu2Bi, computed with PBE-GGA.

The structure in CIF format:
```
data_LaAlCu2Bi
_chemical_formula_sum 'La1 Al1 Cu2 Bi1'
_cell_length_a 4.693
_cell_length_b 4.693
_cell_length_c 5.569
_cell_angle_alpha 90.00
_cell_angle_beta 90.00
_cell_angle_gamma 90.00
_symmetry_space_group_name_H-M 'P 4/m m m'
_symmetry_Int_Tables_number 123
_symmetry_space_group_name_Hall '-P 4 2'
loop_
_atom_site_label
_atom_site_type_symbol
_atom_site_fract_x
_atom_site_fract_y
_atom_site_fract_z
La1 La 0.000 0.000 0.000
Al1 Al 0.500 0.500 0.500
Cu1 Cu 0.000 0.500 0.500
Bi1 Bi 0.500 0.500 0.000
```

Computed properties:
DFT formation energy: 0.0220 eV/atom


No. 8
A relaxed structure of Rb4Fe, computed with PBE-GGA.

The structure in CIF format:
```
data_Rb4Fe
_chemical_formula_sum 'Rb4 Fe1'
_cell_length_a 7.133
_cell_length_b 7.133
_cell_length_c 7.133
_cell_angle_alpha 90.00
_cell_angle_beta 90.00
_cell_angle_gamma 90.00
_symmetry_space_group_name_H-M 'P m -3 m'
_symmetry_Int_Tables_number 221
_symmetry_space_group_name_Hall '-P 4 2 3'
loop_
_atom_site_label
_atom_site_type_symbol
_atom_site_fract_x
_atom_site_fract_y
_atom_site_fract_z
Rb1 Rb 0.000 0.000 0.000
Rb2 Rb 0.000 0.500 0.500
Fe1 Fe 0.500 0.500 0.500
```

Computed properties:
DFT formation energy: 0.6837 eV/atom


The following raw total energy values (in eV/atom) correspond, in order, to the records above: -4.393 -5.889 -6.147 -2.913 -8.409 -4.124 -4.127 -1.783.